Record 1
{"formula": "MgCu2Mo", "functional": "PBE", "state": "optimized geometry", "cell": [[1.3803, 0.7969, 8.9785], [-1.3803, 0.7969, 8.9785], [0.0000, -1.5938, 8.9785]], "species": ["Mg", "Cu", "Cu", "Mo"], "frac_coords": [[0.0000, 0.0000, 0.0000], [0.4916, 0.4916, 0.4916], [0.7501, 0.7501, 0.7501], [0.2401, 0.2401, 0.2401]], "dft_energy_ev_per_atom": -4.865, "magnetic_moment_mub_per_atom": 0.00, "ef_mev_per_atom": 290, "relative_energy_ev_per_atom": 0.174, "crystal_system": "trigonal"}

Record 2
{"formula": "MgCuMo2", "functional": "PBE", "state": "optimized geometry", "cell": [[3.7047, 0.0000, 0.0000], [0.0000, 3.7047, 0.0000], [0.0000, 0.0000, 4.4969]], "species": ["Mg", "Cu", "Mo", "Mo"], "frac_coords": [[0.0000, 0.0000, 0.0000], [0.5000, 0.5000, 0.0000], [0.0000, 0.5000, 0.5000], [0.5000, 0.0000, 0.5000]], "dft_energy_ev_per_atom": -6.592, "magnetic_moment_mub_per_atom": 0.00, "ef_mev_per_atom": 246, "relative_energy_ev_per_atom": 0.085, "crystal_system": "tetragonal"}

Record 3
{"formula": "Mg3CuMo", "functional": "PBE", "state": "optimized geometry", "cell": [[4.6409, 0.0000, 0.0000], [0.0000, 4.6409, 0.0000], [0.0000, 0.0000, 4.6409]], "species": ["Mg", "Mg", "Mg", "Cu", "Mo"], "frac_coords": [[0.0000, 0.0000, 0.5000], [0.0000, 0.5000, 0.0000], [0.5000, 0.0000, 0.0000], [0.0000, 0.0000, 0.0000], [0.5000, 0.5000, 0.5000]], "dft_energy_ev_per_atom": -3.084, "magnetic_moment_mub_per_atom": 0.00, "ef_mev_per_atom": 858, "relative_energy_ev_per_atom": 0.000, "crystal_system": "cubic"}

Record 4
{"formula": "Mg3CuMo", "functional": "PBE", "state": "optimized geometry", "cell": [[5.2098, 0.0000, 0.0000], [0.0000, 5.2098, 0.0000], [0.0000, 0.0000, 5.2098]], "species": ["Mg", "Mg", "Mg", "Cu", "Mo"], "frac_coords": [[0.0000, 0.0000, 0.5000], [0.0000, 0.5000, 0.0000], [0.5000, 0.0000, 0.0000], [0.5000, 0.5000, 0.5000], [0.0000, 0.0000, 0.0000]], "dft_energy_ev_per_atom": -2.589, "magnetic_moment_mub_per_atom": 0.53, "ef_mev_per_atom": 1353, "relative_energy_ev_per_atom": 0.495, "crystal_system": "cubic"}

Record 5
{"formula": "MgCuMo2", "functional": "PBE", "state": "optimized geometry", "cell": [[0.0000, 3.1411, 3.1411], [3.1411, 0.0000, 3.1411], [3.1411, 3.1411, 0.0000]], "species": ["Mg", "Cu", "Mo", "Mo"], "frac_coords": [[0.0000, 0.0000, 0.0000], [0.7500, 0.7500, 0.7500], [0.2500, 0.2500, 0.2500], [0.5000, 0.5000, 0.5000]], "dft_energy_ev_per_atom": -6.475, "magnetic_moment_mub_per_atom": 0.00, "ef_mev_per_atom": 363, "relative_energy_ev_per_atom": 0.201, "crystal_system": "cubic"}

Record 6
{"formula": "MgCu3Mo", "functional": "PBE", "state": "optimized geometry", "cell": [[4.6759, 0.0000, 0.0000], [0.0000, 4.6759, 0.0000], [0.0000, 0.0000, 4.6759]], "species": ["Mg", "Cu", "Cu", "Cu", "Mo"], "frac_coords": [[0.0000, 0.0000, 0.0000], [0.0000, 0.5000, 0.5000], [0.5000, 0.0000, 0.5000], [0.5000, 0.5000, 0.0000], [0.5000, 0.5000, 0.5000]], "dft_energy_ev_per_atom": -3.722, "magnetic_moment_mub_per_atom": 0.00, "ef_mev_per_atom": 1220, "relative_energy_ev_per_atom": 0.000, "crystal_system": "cubic"}

Record 7
{"formula": "MgCu2Mo", "functional": "PBE", "state": "optimized geometry", "cell": [[2.7530, 0.0000, 0.0000], [0.0000, 2.7530, 0.0000], [0.0000, 0.0000, 7.6280]], "species": ["Mg", "Cu", "Cu", "Mo"], "frac_coords": [[0.0000, 0.0000, 0.0000], [0.5000, 0.5000, 0.2525], [0.5000, 0.5000, 0.7475], [0.0000, 0.0000, 0.5000]], "dft_energy_ev_per_atom": -5.039, "magnetic_moment_mub_per_atom": 0.00, "ef_mev_per_atom": 115, "relative_energy_ev_per_atom": 0.000, "crystal_system": "tetragonal"}

Record 8
{"formula": "MgCuMo2", "functional": "PBE", "state": "optimized geometry", "cell": [[2.6016, -4.5640, 0.0000], [2.6016, 4.5640, 0.0000], [-0.5063, 0.0000, 2.6000]], "species": ["Mg", "Cu", "Mo", "Mo"], "frac_coords": [[0.0000, 0.0000, 0.0000], [0.5000, 0.5000, 0.0000], [0.0000, 0.5000, 0.5000], [0.5000, 0.0000, 0.5000]], "dft_energy_ev_per_atom": -6.548, "magnetic_moment_mub_per_atom": 0.00, "ef_mev_per_atom": 290, "relative_energy_ev_per_atom": 0.128, "crystal_system": "monoclinic"}

> Which formula does entry 6 have?

MgCu3Mo